#1
# LiZrTlCu PBE optimized geometry
# **Volume**: 18.2 Å³/atom
# **Magnetization**: 0.04 μB per formula unit
data_LiZrTlCu
_space_group_name_H-M_alt 'P 1'
_space_group_IT_number 1
_cell_length_a 4.6833
_cell_length_b 4.6833
_cell_length_c 4.6833
_cell_angle_alpha 60.00
_cell_angle_beta 60.00
_cell_angle_gamma 60.00
loop_
_space_group_symop_operation_xyz
'x,y,z'
loop_
_atom_site_label
_atom_site_fract_x
_atom_site_fract_y
_atom_site_fract_z
Li1 0.0000 0.0000 0.0000
Zr1 0.2500 0.2500 0.2500
Tl1 0.5000 0.5000 0.5000
Cu1 0.7500 0.7500 0.7500

***

#2
# LiZrTlCu PBE optimized geometry
# **Volume**: 17.0 Å³/atom
# **Magnetization**: 0.00 μB per formula unit
data_LiZrTlCu
_space_group_name_H-M_alt 'P 1'
_space_group_IT_number 1
_cell_length_a 4.5781
_cell_length_b 4.5781
_cell_length_c 4.5781
_cell_angle_alpha 60.00
_cell_angle_beta 60.00
_cell_angle_gamma 60.00
loop_
_space_group_symop_operation_xyz
'x,y,z'
loop_
_atom_site_label
_atom_site_fract_x
_atom_site_fract_y
_atom_site_fract_z
Li1 0.0000 0.0000 0.0000
Zr1 0.7500 0.7500 0.7500
Tl1 0.2500 0.2500 0.2500
Cu1 0.5000 0.5000 0.5000

***

Of them, #1 has the lowest stability.